(1)
Compound: TaTlTcNi2
Source: the Alexandria database
Functional: PBE
Structure: optimized geometry

CIF file:
```
data_TaTlTcNi2
_symmetry_space_group_name_H-M 'P 4/m m m'
_symmetry_Int_Tables_number 123
_symmetry_space_group_name_Hall '-P 4 2'
_cell_length_a 4.407
_cell_length_b 4.407
_cell_length_c 5.078
_cell_angle_alpha 90.00
_cell_angle_beta 90.00
_cell_angle_gamma 90.00
loop_
_atom_site_label
_atom_site_fract_x
_atom_site_fract_y
_atom_site_fract_z
_atom_site_occupancy
Ta1 0.000 0.000 0.000 1
Tl1 0.500 0.500 0.000 1
Tc1 0.500 0.500 0.500 1
Ni1 0.000 0.500 0.500 1
```

Calculated values
Formation enthalpy at 0 K = 1.57 eV/atom

=====

(2)
Compound: Ta2TlTcNi
Source: the Alexandria database
Functional: PBE
Structure: optimized geometry

CIF file:
```
data_Ta2TlTcNi
_symmetry_space_group_name_H-M 'P 4/m m m'
_symmetry_Int_Tables_number 123
_symmetry_space_group_name_Hall '-P 4 2'
_cell_length_a 4.585
_cell_length_b 4.585
_cell_length_c 4.634
_cell_angle_alpha 90.00
_cell_angle_beta 90.00
_cell_angle_gamma 90.00
loop_
_atom_site_label
_atom_site_fract_x
_atom_site_fract_y
_atom_site_fract_z
_atom_site_occupancy
Ta1 0.000 0.500 0.000 1
Tl1 0.000 0.000 0.500 1
Tc1 0.500 0.500 0.500 1
Ni1 0.000 0.000 0.000 1
```

Calculated values
Energy above the lowest structure with this stoichiometry = 8 meV per atom
Formation enthalpy at 0 K = 1.16 eV/atom

=====

(3)
Compound: Ta2TlTcNi
Source: the Alexandria database
Functional: PBE
Structure: optimized geometry

CIF file:
```
data_Ta2TlTcNi
_symmetry_space_group_name_H-M 'P 4/m m m'
_symmetry_Int_Tables_number 123
_symmetry_space_group_name_Hall '-P 4 2'
_cell_length_a 4.810
_cell_length_b 4.810
_cell_length_c 4.637
_cell_angle_alpha 90.00
_cell_angle_beta 90.00
_cell_angle_gamma 90.00
loop_
_atom_site_label
_atom_site_fract_x
_atom_site_fract_y
_atom_site_fract_z
_atom_site_occupancy
Ta1 0.000 0.500 0.000 1
Tl1 0.000 0.000 0.500 1
Tc1 0.500 0.500 0.000 1
Ni1 0.500 0.500 0.500 1
```

Calculated values
Energy above the lowest structure with this stoichiometry = 0 meV per atom
Formation enthalpy at 0 K = 1.16 eV/atom

=====

(4)
Compound: TaVTcNi
Source: the Alexandria database
Functional: PBE
Structure: optimized geometry

CIF file:
```
data_TaVTcNi
_symmetry_space_group_name_H-M 'F -4 3 m'
_symmetry_Int_Tables_number 216
_symmetry_space_group_name_Hall 'F -4 2 3'
_cell_length_a 6.135
_cell_length_b 6.135
_cell_length_c 6.135
_cell_angle_alpha 90.00
_cell_angle_beta 90.00
_cell_angle_gamma 90.00
loop_
_atom_site_label
_atom_site_fract_x
_atom_site_fract_y
_atom_site_fract_z
_atom_site_occupancy
Ta1 0.000 0.000 0.000 1
V1 0.000 0.000 0.500 1
Tc1 0.250 0.250 0.750 1
Ni1 0.250 0.250 0.250 1
```

Calculated values
Formation enthalpy at 0 K = -0.16 eV/atom

=====

(5)
Compound: Ta2NiTe
Source: the Alexandria database
Functional: PBE
Structure: optimized geometry

CIF file:
```
data_Ta2NiTe
_symmetry_space_group_name_H-M 'I 4/m m m'
_symmetry_Int_Tables_number 139
_symmetry_space_group_name_Hall '-I 4 2'
_cell_length_a 3.978
_cell_length_b 3.978
_cell_length_c 8.663
_cell_angle_alpha 90.00
_cell_angle_beta 90.00
_cell_angle_gamma 90.00
loop_
_atom_site_label
_atom_site_fract_x
_atom_site_fract_y
_atom_site_fract_z
_atom_site_occupancy
Ta1 0.000 0.500 0.250 1
Ni1 0.000 0.000 0.000 1
Te1 0.000 0.000 0.500 1
```

Calculated values
Energy relative to the elements, uncorrected = 173.2 meV per atom

=====

(6)
Compound: Ta2NiTe
Source: the Alexandria database
Functional: PBE
Structure: optimized geometry

CIF file:
```
data_Ta2NiTe
_symmetry_space_group_name_H-M 'P m m m'
_symmetry_Int_Tables_number 47
_symmetry_space_group_name_Hall '-P 2 2'
_cell_length_a 3.213
_cell_length_b 3.649
_cell_length_c 5.977
_cell_angle_alpha 90.00
_cell_angle_beta 90.00
_cell_angle_gamma 90.00
loop_
_atom_site_label
_atom_site_fract_x
_atom_site_fract_y
_atom_site_fract_z
_atom_site_occupancy
Ta1 0.000 0.000 0.225 1
Ni1 0.500 0.500 0.000 1
Te1 0.500 0.500 0.500 1
```

Calculated values
Energy relative to the elements, uncorrected = 224.6 meV per atom

=====

(7)
Compound: TaNiTe2
Source: the Alexandria database
Functional: PBE
Structure: optimized geometry

CIF file:
```
data_TaNiTe2
_symmetry_space_group_name_H-M 'I -4 2 d'
_symmetry_Int_Tables_number 122
_symmetry_space_group_name_Hall 'I -4 2bw'
_cell_length_a 6.110
_cell_length_b 6.110
_cell_length_c 11.582
_cell_angle_alpha 90.00
_cell_angle_beta 90.00
_cell_angle_gamma 90.00
loop_
_atom_site_label
_atom_site_fract_x
_atom_site_fract_y
_atom_site_fract_z
_atom_site_occupancy
Ta1 0.000 0.000 0.000 1
Ni1 0.000 0.000 0.500 1
Te1 0.222 0.250 0.625 1
```

Calculated values
Energy above the lowest structure with this stoichiometry = 652 meV per atom
Energy relative to the elements, uncorrected = 267.9 meV per atom

=====

(8)
Compound: TaNiTe2
Source: the Alexandria database
Functional: PBE
Structure: optimized geometry

CIF file:
```
data_TaNiTe2
_symmetry_space_group_name_H-M 'R -3 m'
_symmetry_Int_Tables_number 166
_symmetry_space_group_name_Hall '-R 3 2"'
_cell_length_a 3.4828
_cell_length_b 3.4828
_cell_length_c 22.7524
_cell_angle_alpha 90.00
_cell_angle_beta 90.00
_cell_angle_gamma 120.00
loop_
_atom_site_label
_atom_site_fract_x
_atom_site_fract_y
_atom_site_fract_z
_atom_site_occupancy
Ta1 0.0000 0.0000 0.0000 1
Ni1 0.0000 0.0000 0.5000 1
Te1 0.0000 0.0000 0.2431 1
```

Calculated values
Energy above the lowest structure with this stoichiometry = 470 meV per atom
Energy relative to the elements, uncorrected = 86.4 meV per atom

=====

(9)
Compound: Ta2NiTe
Source: the Alexandria database
Functional: PBE
Structure: optimized geometry

CIF file:
```
data_Ta2NiTe
_symmetry_space_group_name_H-M 'P 1 m 1'
_symmetry_Int_Tables_number 6
_symmetry_space_group_name_Hall 'P -2y'
_cell_length_a 3.362
_cell_length_b 3.466
_cell_length_c 6.386
_cell_angle_alpha 90.00
_cell_angle_beta 100.77
_cell_angle_gamma 90.00
loop_
_atom_site_label
_atom_site_fract_x
_atom_site_fract_y
_atom_site_fract_z
_atom_site_occupancy
Ta1 0.000 0.000 0.000 1
Ta2 0.417 0.500 0.743 1
Ni1 0.862 0.000 0.571 1
Te1 0.597 0.500 0.259 1
```

Calculated values
Energy relative to the elements, uncorrected = 47.4 meV per atom

=====

(10)
Compound: Ta2NiTe
Source: the Alexandria database
Functional: PBE
Structure: optimized geometry

CIF file:
```
data_Ta2NiTe
_symmetry_space_group_name_H-M 'I -4 2 d'
_symmetry_Int_Tables_number 122
_symmetry_space_group_name_Hall 'I -4 2bw'
_cell_length_a 5.691
_cell_length_b 5.691
_cell_length_c 12.229
_cell_angle_alpha 90.00
_cell_angle_beta 90.00
_cell_angle_gamma 90.00
loop_
_atom_site_label
_atom_site_fract_x
_atom_site_fract_y
_atom_site_fract_z
_atom_site_occupancy
Ta1 0.177 0.250 0.125 1
Ni1 0.000 0.000 0.000 1
Te1 0.000 0.000 0.500 1
```

Calculated values
Energy relative to the elements, uncorrected = 827.6 meV per atom

=====

(11)
Compound: TaNiTe
Source: the Alexandria database
Functional: PBE
Structure: optimized geometry

CIF file:
```
data_TaNiTe
_symmetry_space_group_name_H-M 'F -4 3 m'
_symmetry_Int_Tables_number 216
_symmetry_space_group_name_Hall 'F -4 2 3'
_cell_length_a 6.100
_cell_length_b 6.100
_cell_length_c 6.100
_cell_angle_alpha 90.00
_cell_angle_beta 90.00
_cell_angle_gamma 90.00
loop_
_atom_site_label
_atom_site_fract_x
_atom_site_fract_y
_atom_site_fract_z
_atom_site_occupancy
Ta1 0.000 0.000 0.000 1
Ni1 0.250 0.250 0.250 1
Te1 0.000 0.000 0.500 1
```

Calculated values
Energy above the lowest structure with this stoichiometry = 655 meV per atom
Energy relative to the elements, uncorrected = 439.8 meV per atom

=====

(12)
Compound: TaNiTe2
Source: the Alexandria database
Functional: PBE
Structure: optimized geometry

CIF file:
```
data_TaNiTe2
_symmetry_space_group_name_H-M 'P 4 m m'
_symmetry_Int_Tables_number 99
_symmetry_space_group_name_Hall 'P 4 -2'
_cell_length_a 3.545
_cell_length_b 3.545
_cell_length_c 7.378
_cell_angle_alpha 90.00
_cell_angle_beta 90.00
_cell_angle_gamma 90.00
loop_
_atom_site_label
_atom_site_fract_x
_atom_site_fract_y
_atom_site_fract_z
_atom_site_occupancy
Ta1 0.000 0.000 0.000 1
Ni1 0.500 0.500 0.812 1
Te1 0.000 0.000 0.643 1
Te2 0.500 0.500 0.180 1
```

Calculated values
Energy above the lowest structure with this stoichiometry = 324 meV per atom
Energy relative to the elements, uncorrected = -59.6 meV per atom

=====

(13)
Compound: TaNiTe2
Source: the Alexandria database
Functional: PBE
Structure: optimized geometry

CIF file:
```
data_TaNiTe2
_symmetry_space_group_name_H-M 'F -4 3 m'
_symmetry_Int_Tables_number 216
_symmetry_space_group_name_Hall 'F -4 2 3'
_cell_length_a 6.881
_cell_length_b 6.881
_cell_length_c 6.881
_cell_angle_alpha 90.00
_cell_angle_beta 90.00
_cell_angle_gamma 90.00
loop_
_atom_site_label
_atom_site_fract_x
_atom_site_fract_y
_atom_site_fract_z
_atom_site_occupancy
Ta1 0.000 0.000 0.000 1
Ni1 0.250 0.250 0.750 1
Te1 0.000 0.000 0.500 1
Te2 0.250 0.250 0.250 1
```

Calculated values
Energy above the lowest structure with this stoichiometry = 1098 meV per atom
Energy relative to the elements, uncorrected = 713.7 meV per atom

=====

(14)
Compound: Ta2NiTe
Source: the Alexandria database
Functional: PBE
Structure: optimized geometry

CIF file:
```
data_Ta2NiTe
_symmetry_space_group_name_H-M 'P 4 m m'
_symmetry_Int_Tables_number 99
_symmetry_space_group_name_Hall 'P 4 -2'
_cell_length_a 3.394
_cell_length_b 3.394
_cell_length_c 6.213
_cell_angle_alpha 90.00
_cell_angle_beta 90.00
_cell_angle_gamma 90.00
loop_
_atom_site_label
_atom_site_fract_x
_atom_site_fract_y
_atom_site_fract_z
_atom_site_occupancy
Ta1 0.000 0.000 0.000 1
Ta2 0.500 0.500 0.260 1
Ni1 0.500 0.500 0.816 1
Te1 0.000 0.000 0.526 1
```

Calculated values
Energy relative to the elements, uncorrected = 30.8 meV per atom

=====

(15)
Compound: TaNiTe2
Source: the Alexandria database
Functional: PBE
Structure: optimized geometry

CIF file:
```
data_TaNiTe2
_symmetry_space_group_name_H-M 'P 1 m 1'
_symmetry_Int_Tables_number 6
_symmetry_space_group_name_Hall 'P -2y'
_cell_length_a 3.672
_cell_length_b 3.806
_cell_length_c 7.491
_cell_angle_alpha 90.00
_cell_angle_beta 100.83
_cell_angle_gamma 90.00
loop_
_atom_site_label
_atom_site_fract_x
_atom_site_fract_y
_atom_site_fract_z
_atom_site_occupancy
Ta1 0.000 0.000 0.000 1
Ni1 0.426 0.500 0.926 1
Te1 0.434 0.000 0.707 1
Te2 0.791 0.500 0.242 1
```

Calculated values
Energy above the lowest structure with this stoichiometry = 212 meV per atom
Energy relative to the elements, uncorrected = -171.4 meV per atom

=====

(16)
Compound: TaNiTe2
Source: the Alexandria database
Functional: PBE
Structure: optimized geometry

CIF file:
```
data_TaNiTe2
_symmetry_space_group_name_H-M 'F m -3 m'
_symmetry_Int_Tables_number 225
_symmetry_space_group_name_Hall '-F 4 2 3'
_cell_length_a 6.799
_cell_length_b 6.799
_cell_length_c 6.799
_cell_angle_alpha 90.00
_cell_angle_beta 90.00
_cell_angle_gamma 90.00
loop_
_atom_site_label
_atom_site_fract_x
_atom_site_fract_y
_atom_site_fract_z
_atom_site_occupancy
Ta1 0.000 0.000 0.000 1
Ni1 0.000 0.000 0.500 1
Te1 0.250 0.250 0.250 1
```

Calculated values
Energy above the lowest structure with this stoichiometry = 706 meV per atom
Energy relative to the elements, uncorrected = 322.3 meV per atom

=====

(17)
Compound: Ta2NiTe
Source: the Alexandria database
Functional: PBE
Structure: optimized geometry

CIF file:
```
data_Ta2NiTe
_symmetry_space_group_name_H-M 'R -3 m'
_symmetry_Int_Tables_number 166
_symmetry_space_group_name_Hall '-R 3 2"'
_cell_length_a 3.1448
_cell_length_b 3.1448
_cell_length_c 25.3421
_cell_angle_alpha 90.00
_cell_angle_beta 90.00
_cell_angle_gamma 120.00
loop_
_atom_site_label
_atom_site_fract_x
_atom_site_fract_y
_atom_site_fract_z
_atom_site_occupancy
Ta1 0.0000 0.0000 0.2413 1
Ni1 0.0000 0.0000 0.5000 1
Te1 0.0000 0.0000 0.0000 1
```

Calculated values
Energy relative to the elements, uncorrected = 386.2 meV per atom

=====

(18)
Compound: TaNiTe2
Source: the Alexandria database
Functional: PBE
Structure: optimized geometry

CIF file:
```
data_TaNiTe2
_symmetry_space_group_name_H-M 'P 1 21/c 1'
_symmetry_Int_Tables_number 14
_symmetry_space_group_name_Hall '-P 2ybc'
_cell_length_a 8.673
_cell_length_b 6.279
_cell_length_c 7.976
_cell_angle_alpha 90.00
_cell_angle_beta 116.92
_cell_angle_gamma 90.00
loop_
_atom_site_label
_atom_site_fract_x
_atom_site_fract_y
_atom_site_fract_z
_atom_site_occupancy
Ta1 0.009 0.010 0.300 1
Ni1 0.111 0.645 0.556 1
Te1 0.215 0.248 0.622 1
Te2 0.303 0.750 0.401 1
```

Calculated values
Energy above the lowest structure with this stoichiometry = 0 meV per atom
Energy relative to the elements, uncorrected = -383.9 meV per atom

=====

(19)
Compound: TaNiTe2
Source: the Alexandria database
Functional: PBE
Structure: optimized geometry

CIF file:
```
data_TaNiTe2
_symmetry_space_group_name_H-M 'R -3 m'
_symmetry_Int_Tables_number 166
_symmetry_space_group_name_Hall '-R 3 2"'
_cell_length_a 3.5841
_cell_length_b 3.5841
_cell_length_c 25.8095
_cell_angle_alpha 90.00
_cell_angle_beta 90.00
_cell_angle_gamma 120.00
loop_
_atom_site_label
_atom_site_fract_x
_atom_site_fract_y
_atom_site_fract_z
_atom_site_occupancy
Ta1 0.0000 0.0000 0.0000 1
Ni1 0.0000 0.0000 0.5000 1
Te1 0.0000 0.0000 0.4060 1
```

Calculated values
Energy above the lowest structure with this stoichiometry = 544 meV per atom
Energy relative to the elements, uncorrected = 160.2 meV per atom

=====

(20)
Compound: TaNiTe2
Source: the Alexandria database
Functional: PBE
Structure: optimized geometry

CIF file:
```
data_TaNiTe2
_symmetry_space_group_name_H-M 'C 1 2/m 1'
_symmetry_Int_Tables_number 12
_symmetry_space_group_name_Hall '-C 2y'
_cell_length_a 7.171
_cell_length_b 8.306
_cell_length_c 3.138
_cell_angle_alpha 90.00
_cell_angle_beta 115.19
_cell_angle_gamma 90.00
loop_
_atom_site_label
_atom_site_fract_x
_atom_site_fract_y
_atom_site_fract_z
_atom_site_occupancy
Ta1 0.000 0.000 0.000 1
Ni1 0.000 0.500 0.000 1
Te1 0.250 0.250 0.000 1
```

Calculated values
Energy above the lowest structure with this stoichiometry = 916 meV per atom
Energy relative to the elements, uncorrected = 532.5 meV per atom